# 1
This record from the Alexandria database describes crystalline BeCoC2 at its relaxed geometry. The functional is PBE-GGA.

* uncorrected energy: -102.37 eV per cell
* M_tot: 0.000 μB per atom
* calculated volume: 9.51 Å³/atom
* crystal system: tetragonal
* N(E_F): 0.38 states/eV per atom

a b c (Å): 4.3323 4.3323 8.1063
angles (deg): 90.00 90.00 90.00
Space group I-42d (No. 122)
Inequivalent atoms, fractional coordinates:
Be  0.0000  0.0000  0.0000
Co  0.0000  0.0000  0.5000
C  0.2376  0.2500  0.6250

***

# 2
This record from the Alexandria database describes crystalline Be2CoC2 at its relaxed geometry. The functional is PBE-GGA.

* uncorrected energy: -64.34 eV per cell
* M_tot: 0.000 μB per atom
* calculated volume: 7.12 Å³/atom
* energy above the most stable polymorph in this dataset: 0.0000 eV per atom
* crystal system: tetragonal
* N(E_F): 0.19 states/eV per atom

a b c (Å): 4.8878 4.8878 2.9798
angles (deg): 90.00 90.00 90.00
Space group P4/mbm (No. 127)
Inequivalent atoms, fractional coordinates:
Be  0.2155  0.2845  0.0000
Co  0.0000  0.0000  0.5000
C  0.1068  0.6068  0.5000

***

# 3
This record from the Alexandria database describes crystalline La2BeCoC at its relaxed geometry. The functional is PBE-GGA.

* uncorrected energy: -29.74 eV per cell
* M_tot: 0.043 μB per atom
* calculated volume: 19.07 Å³/atom
* crystal system: tetragonal
* N(E_F): 0.72 states/eV per atom

a b c (Å): 5.2873 5.2873 3.4106
angles (deg): 90.00 90.00 90.00
Space group P4/mmm (No. 123)
Inequivalent atoms, fractional coordinates:
La  0.0000  0.5000  0.0000
Be  0.0000  0.0000  0.5000
Co  0.5000  0.5000  0.5000
C  0.0000  0.0000  0.0000